(w)
DFT (PBE) results for a relaxed structure of CaPrHg2.

Cell lengths 5.4060, 5.4060, 5.4060 Å; angles 60.00, 60.00, 60.00 degrees
With the nearest neighbours (Å) after each atom.
Element x y z (fractional)
1 Hg 0.2500 0.2500 0.2500  4 Pr 3.31, 4 Ca 3.31
2 Ca 0.5000 0.5000 0.5000  8 Hg 3.31
3 Pr 0.0000 0.0000 0.0000  8 Hg 3.31
4 Hg 0.7500 0.7500 0.7500  4 Pr 3.31, 4 Ca 3.31

Output
- Symmetry: Fm-3m, No. 225

(x)
DFT (PBE) results for a relaxed structure of CaPrHg2.

Cell lengths 3.8311, 5.4207, 5.4207 Å; angles 90.00, 90.00, 90.00 degrees
With the nearest neighbours (Å) after each atom.
Element x y z (fractional)
1 Hg 0.0000 0.5000 0.0000  4 Pr 3.32, 4 Ca 3.32
2 Ca 0.5000 0.0000 0.0000  8 Hg 3.32
3 Hg 0.0000 0.0000 0.5000  4 Pr 3.32, 4 Ca 3.32
4 Pr 0.5000 0.5000 0.5000  8 Hg 3.32

Output
- Symmetry: P4/mmm, No. 123

(y)
DFT (PBE) results for a relaxed structure of CaPrHg2.

Cell lengths 4.0510, 4.0510, 9.1334 Å; angles 77.19, 77.19, 60.00 degrees
With the nearest neighbours (Å) after each atom.
Element x y z (fractional)
1 Pr 0.4998 0.4998 0.5005  6 Hg 3.23-3.24
2 Hg 0.2511 0.2511 0.2467  3 Ca 3.20, 3 Pr 3.24
3 Ca 0.6666 0.6666 0.0001  6 Hg 3.20
4 Hg 0.0824 0.0824 0.7527  3 Ca 3.20, 3 Pr 3.23

Output
- Symmetry: R3m, No. 160

Structures ranked by computed energy, the most stable listed first: (w), (x), (y).

(w)
DFT (PBE) results for a relaxed structure of Ca3Pr2Hg4.

Cell lengths 7.1384, 8.0239, 10.1403 Å; angles 90.00, 110.61, 90.00 degrees
With the nearest neighbours (Å) after each atom.
Element x y z (fractional)
1 Ca 0.9836 0.2500 0.4672  5 Hg 3.17-3.23
2 Pr 0.0944 0.5853 0.1887  3 Hg 3.27
3 Pr 0.4056 0.0853 0.8113  3 Hg 3.27
4 Ca 0.0164 0.7500 0.5328  5 Hg 3.17-3.23
5 Hg 0.1614 0.9609 0.3228  5 Ca 3.08-3.23, 1 Pr 3.27, 2 Hg 3.44
6 Hg 0.1833 0.7500 0.8667  3 Ca 2.97-3.17, 2 Pr 3.27
7 Ca 0.4836 0.2500 0.4672  5 Hg 3.17-3.23
8 Hg 0.8386 0.0391 0.6772  5 Ca 3.08-3.23, 1 Pr 3.27, 2 Hg 3.44
9 Pr 0.5944 0.9147 0.1887  3 Hg 3.27
10 Hg 0.6614 0.5391 0.3228  5 Ca 3.08-3.23, 1 Pr 3.27, 2 Hg 3.44
11 Hg 0.8167 0.2500 0.1333  3 Ca 2.97-3.17, 2 Pr 3.27
12 Ca 0.0000 0.0000 0.0000  6 Hg 2.97-3.08
13 Hg 0.6833 0.7500 0.8667  3 Ca 2.97-3.17, 2 Pr 3.27
14 Hg 0.3386 0.4609 0.6772  5 Ca 3.08-3.23, 1 Pr 3.27, 2 Hg 3.44
15 Pr 0.9056 0.4147 0.8113  3 Hg 3.27
16 Hg 0.3167 0.2500 0.1333  3 Ca 2.97-3.17, 2 Pr 3.27
17 Ca 0.5000 0.5000 0.0000  6 Hg 2.97-3.08
18 Ca 0.5164 0.7500 0.5328  5 Hg 3.17-3.23

Output
- Symmetry: Cmce, No. 64

(x)
DFT (PBE) results for a relaxed structure of Ca3Pr2Hg4.

Cell lengths 5.3621, 5.3692, 10.6053 Å; angles 89.89, 90.00, 60.04 degrees
With the nearest neighbours (Å) after each atom.
Element x y z (fractional)
1 Hg 0.9990 0.0021 0.6643  4 Ca 3.20-3.56, 3 Pr 3.40-3.41, 1 Hg 3.49
2 Pr 0.3329 0.3343 0.7967  7 Hg 3.25-3.41
3 Ca 0.3340 0.3320 0.4123  4 Hg 3.20-3.27
4 Pr 0.6671 0.6657 0.2033  7 Hg 3.25-3.41
5 Hg 0.0010 0.9979 0.3357  4 Ca 3.20-3.56, 3 Pr 3.40-3.41, 1 Hg 3.49
6 Hg 0.6662 0.6677 0.8964  4 Pr 3.25-3.27, 4 Ca 3.27-3.29
7 Ca 0.6660 0.6680 0.5877  4 Hg 3.20-3.27
8 Hg 0.3338 0.3323 0.1036  4 Pr 3.25-3.27, 4 Ca 3.27-3.29
9 Ca 0.0000 0.0000 0.0000  8 Hg 3.29-3.56

Output
- Symmetry: C2/m, No. 12

Structures ranked by computed energy, the most stable listed first: (x), (w).

(w)
DFT (PBE) results for a relaxed structure of Ca2PrHg2.

Cell lengths 5.2966, 6.5416, 9.2097 Å; angles 89.99, 90.00, 90.00 degrees
With the nearest neighbours (Å) after each atom.
Element x y z (fractional)
1 Hg 0.2500 0.3356 0.9171  5 Ca 3.22-3.32, 3 Pr 3.24-3.25
2 Hg 0.2500 0.6638 0.5829  5 Ca 3.23-3.32, 3 Pr 3.25
3 Pr 0.2500 0.5005 0.2499  6 Hg 3.24-3.25
4 Ca 0.2500 0.8432 0.9161  5 Hg 3.22-3.32
5 Hg 0.7500 0.6644 0.0829  5 Ca 3.22-3.32, 3 Pr 3.24-3.25
6 Ca 0.7500 0.1568 0.0839  5 Hg 3.22-3.32
7 Ca 0.7500 0.8431 0.4165  5 Hg 3.23-3.32
8 Pr 0.7500 0.4995 0.7501  6 Hg 3.24-3.25
9 Hg 0.7500 0.3362 0.4171  5 Ca 3.23-3.32, 3 Pr 3.25
10 Ca 0.2500 0.1569 0.5835  5 Hg 3.23-3.32

Output
- Symmetry: P2_1/m, No. 11

(x)
DFT (PBE) results for a relaxed structure of Ca2PrHg2.

Cell lengths 5.3315, 5.4067, 11.1262 Å; angles 89.90, 90.00, 90.00 degrees
With the nearest neighbours (Å) after each atom.
Element x y z (fractional)
1 Hg 0.2500 0.2494 0.8330  2 Pr 3.23, 6 Ca 3.24-3.27
2 Pr 0.2500 0.7506 0.3303  6 Hg 3.23-3.28
3 Pr 0.7500 0.2494 0.6697  6 Hg 3.23-3.28
4 Hg 0.2500 0.2500 0.4974  4 Ca 3.27-3.33, 4 Pr 3.28
5 Ca 0.7500 0.2506 0.3273  6 Hg 3.24-3.33, 1 Ca 3.62
6 Ca 0.2500 0.7497 0.9981  4 Hg 3.26-3.27, 1 Ca 3.62
7 Ca 0.7500 0.2503 0.0019  4 Hg 3.26-3.27, 1 Ca 3.62
8 Ca 0.2500 0.7494 0.6727  6 Hg 3.24-3.33, 1 Ca 3.62
9 Hg 0.7500 0.7506 0.1670  2 Pr 3.23, 6 Ca 3.24-3.27
10 Hg 0.7500 0.7500 0.5026  4 Ca 3.27-3.33, 4 Pr 3.28

Output
- Symmetry: P2_1/m, No. 11

Structures ranked by computed energy, the most stable listed first: (w), (x).